! MgTaGeW2, optimized geometry, DFT GGA-PBE; values from VASP
! **Calculated total energy**: -35.40 eV per cell
! **Magnetization**: 0.000 μB/cell
&SYSTEM
  ibrav = 0, nat = 5, ntyp = 4
/
ATOMIC_SPECIES
Ge 72.64 Ge.upf
Mg 24.30 Mg.upf
W 183.84 W.upf
Ta 180.95 Ta.upf
ATOMIC_POSITIONS angstrom
Ge 0.000 2.486 0.000
Mg 2.418 2.486 2.418
W 0.000 0.000 2.418
W 2.418 0.000 0.000
Ta 0.000 0.000 0.000
CELL_PARAMETERS angstrom
4.836 0.000 0.000
0.000 4.971 0.000
0.000 0.000 4.836

***

! Tl2AgBiBr6, optimized geometry, DFT GGA-PBE; values from VASP
! **Raw formation energy**: -16.508 kcal/mol of atoms
! **Magnetization**: 0.000 μB/cell
&SYSTEM
  ibrav = 0, nat = 20, ntyp = 4
/
ATOMIC_SPECIES
Tl 204.38 Tl.upf
Ag 107.87 Ag.upf
Bi 208.98 Bi.upf
Br 79.90 Br.upf
ATOMIC_POSITIONS angstrom
Tl 0.244 7.446 2.769
Tl 4.108 4.741 8.290
Tl 7.484 0.679 8.274
Tl 3.620 3.384 2.753
Ag 3.821 0.000 0.007
Ag 0.044 4.062 5.515
Bi 3.864 0.000 5.521
Bi 0.000 4.062 0.000
Br 2.361 5.648 0.556
Br 6.225 6.539 6.077
Br 5.368 2.476 10.487
Br 1.504 1.586 4.966
Br 2.403 5.673 4.996
Br 6.267 6.514 10.517
Br 5.325 2.452 6.047
Br 1.461 1.610 0.526
Br 6.882 4.231 2.802
Br 3.104 7.956 8.311
Br 0.847 3.894 8.240
Br 4.624 0.168 2.732
CELL_PARAMETERS angstrom
7.641 0.000 0.013
0.000 8.125 0.000
0.087 0.000 11.029